(1)
Density functional theory data (GGA-PBE) for EuMg2Pd after structural relaxation.

abc: 5.0004 5.0004 5.0095
angles: 60.06 60.06 60.00
Closest atoms and distances in Å follow each position.
Positions (direct):
Eu 0.0000 0.0000 0.0000  8 Mg 3.06-3.07
Mg 0.7505 0.7505 0.7485  4 Pd 3.06-3.08, 4 Eu 3.06-3.07
Mg 0.2495 0.2495 0.2515  4 Pd 3.06-3.08, 4 Eu 3.06-3.07
Pd 0.5000 0.5000 0.5000  8 Mg 3.06-3.08

Computed properties:
crystal system: trigonal
DOS at the Fermi energy: 1.593 states/eV per atom
total moment: 7.380 μB/f.u.
E_form: -0.224 eV per atom
space-group type: R-3m (166)

=====

(2)
Density functional theory data (GGA-PBE) for EuMgPd after structural relaxation.

abc: 4.1272 4.5940 4.5940
angles: 120.00 90.00 90.00
Closest atoms and distances in Å follow each position.
Positions (direct):
Eu 0.6665 0.6667 0.3333  6 Pd 3.36, 6 Mg 3.36
Mg 0.1666 0.0000 0.0000  3 Pd 2.65
Pd 0.1668 0.3333 0.6667  3 Mg 2.65

Computed properties:
crystal system: hexagonal
DOS at the Fermi energy: 3.648 states/eV per atom
total moment: 7.143 μB/f.u.
E_form: -0.471 eV per atom
space-group type: P-6m2 (187)

=====

(3)
Density functional theory data (GGA-PBE) for EuMgPd after structural relaxation.

abc: 4.3912 7.4902 8.6445
angles: 90.00 90.00 90.00
Closest atoms and distances in Å follow each position.
Positions (direct):
Eu 0.2500 0.0323 0.3234  5 Pd 3.16-3.19, 5 Mg 3.41-3.46
Eu 0.2500 0.5323 0.1766  5 Pd 3.16-3.19, 5 Mg 3.41-3.46
Eu 0.7500 0.9677 0.6766  5 Pd 3.16-3.19, 5 Mg 3.41-3.46
Eu 0.7500 0.4677 0.8234  5 Pd 3.16-3.19, 5 Mg 3.41-3.46
Mg 0.2500 0.1371 0.9395  4 Pd 2.80-2.90
Mg 0.2500 0.6371 0.5605  4 Pd 2.80-2.90
Mg 0.7500 0.8629 0.0605  4 Pd 2.80-2.90
Mg 0.7500 0.3629 0.4395  4 Pd 2.80-2.90
Pd 0.2500 0.2708 0.6243  4 Mg 2.80-2.90
Pd 0.2500 0.7708 0.8757  4 Mg 2.80-2.90
Pd 0.7500 0.7292 0.3757  4 Mg 2.80-2.90
Pd 0.7500 0.2292 0.1243  4 Mg 2.80-2.90

Computed properties:
crystal system: orthorhombic
DOS at the Fermi energy: 3.045 states/eV per atom
total moment: 7.107 μB/f.u.
E_form: -0.616 eV per atom
space-group type: Pnma (62)

=====

(4)
Density functional theory data (GGA-PBE) for PmEuMgPd after structural relaxation.

abc: 5.2956 5.2956 5.2956
angles: 60.00 60.00 60.00
Closest atoms and distances in Å follow each position.
Positions (direct):
Eu 0.5000 0.5000 0.5000  4 Mg 3.24, 4 Pd 3.24
Mg 0.7500 0.7500 0.7500  4 Pm 3.24, 4 Eu 3.24
Pd 0.2500 0.2500 0.2500  4 Pm 3.24, 4 Eu 3.24
Pm 0.0000 0.0000 0.0000  4 Mg 3.24, 4 Pd 3.24

Computed properties:
crystal system: cubic
DOS at the Fermi energy: 2.111 states/eV per atom
total moment: 7.011 μB/f.u.
E_form: -0.312 eV per atom
space-group type: F-43m (216)

=====

(5)
Density functional theory data (GGA-PBE) for EuMgPdRh after structural relaxation.

abc: 4.7777 4.7777 4.7777
angles: 60.00 60.00 60.00
Closest atoms and distances in Å follow each position.
Positions (direct):
Eu 0.2500 0.2500 0.2500  4 Rh 2.93, 4 Pd 2.93
Mg 0.7500 0.7500 0.7500  4 Rh 2.93, 4 Pd 2.93
Rh 0.5000 0.5000 0.5000  4 Mg 2.93, 4 Eu 2.93
Pd 0.0000 0.0000 0.0000  4 Mg 2.93, 4 Eu 2.93

Computed properties:
crystal system: cubic
DOS at the Fermi energy: 2.628 states/eV per atom
total moment: 6.876 μB/f.u.
E_form: -0.454 eV per atom
space-group type: F-43m (216)

=====

(6)
Density functional theory data (GGA-PBE) for EuMgSnPd after structural relaxation.

abc: 4.9822 4.9822 4.9822
angles: 60.00 60.00 60.00
Closest atoms and distances in Å follow each position.
Positions (direct):
Eu 0.7500 0.7500 0.7500  4 Mg 3.05, 4 Pd 3.05
Mg 0.5000 0.5000 0.5000  4 Eu 3.05, 4 Sn 3.05
Sn 0.2500 0.2500 0.2500  4 Mg 3.05, 4 Pd 3.05
Pd 0.0000 0.0000 0.0000  4 Sn 3.05, 4 Eu 3.05

Computed properties:
crystal system: cubic
DOS at the Fermi energy: 2.969 states/eV per atom
total moment: 7.030 μB/f.u.
E_form: -0.497 eV per atom
space-group type: F-43m (216)

=====

(7)
Density functional theory data (GGA-PBE) for TbEuMgPd after structural relaxation.

abc: 5.2368 5.2368 5.2368
angles: 60.00 60.00 60.00
Closest atoms and distances in Å follow each position.
Positions (direct):
Eu 0.5000 0.5000 0.5000  4 Mg 3.21, 4 Pd 3.21
Mg 0.2500 0.2500 0.2500  4 Tb 3.21, 4 Eu 3.21
Tb 0.0000 0.0000 0.0000  4 Mg 3.21, 4 Pd 3.21
Pd 0.7500 0.7500 0.7500  4 Eu 3.21, 4 Tb 3.21

Computed properties:
crystal system: cubic
DOS at the Fermi energy: 1.968 states/eV per atom
total moment: 6.996 μB/f.u.
E_form: -0.318 eV per atom
space-group type: F-43m (216)

=====

(8)
Density functional theory data (GGA-PBE) for EuMgTlPd after structural relaxation.

abc: 5.1147 5.1147 5.1147
angles: 60.00 60.00 60.00
Closest atoms and distances in Å follow each position.
Positions (direct):
Eu 0.2500 0.2500 0.2500  4 Tl 3.13, 4 Pd 3.13
Tl 0.0000 0.0000 0.0000  4 Mg 3.13, 4 Eu 3.13
Mg 0.7500 0.7500 0.7500  4 Pd 3.13, 4 Tl 3.13
Pd 0.5000 0.5000 0.5000  4 Mg 3.13, 4 Eu 3.13

Computed properties:
crystal system: cubic
DOS at the Fermi energy: 2.824 states/eV per atom
total moment: 6.885 μB/f.u.
E_form: -0.367 eV per atom
space-group type: F-43m (216)

=====

Across the entries above, raw total energy takes the values -0.1796; -0.2263; -0.2317; -0.2119; -0.2410; -0.2118; -0.2110; -0.1920 Ha/atom, respectively.